The following is a PBE-GGA calculation of K2CuAuF6 after structural relaxation, from OQMD via LeMat-Bulk.

```
K2CuAuF6
1.0
5.728 0.000 0.000
0.000 5.864 0.000
-5.675 0.000 8.127
K Cu Au F
4 2 2 12
Direct
0.240 0.037 0.248 K
0.240 0.463 0.748 K
0.760 0.537 0.252 K
0.760 0.963 0.752 K
0.000 0.000 0.500 Cu
0.000 0.500 0.000 Cu
0.500 0.000 0.000 Au
0.500 0.500 0.500 Au
0.156 0.233 0.967 F
0.156 0.267 0.467 F
0.245 0.697 0.970 F
0.245 0.803 0.470 F
0.301 0.008 0.740 F
0.301 0.492 0.240 F
0.699 0.508 0.760 F
0.699 0.992 0.260 F
0.755 0.197 0.530 F
0.755 0.303 0.030 F
0.844 0.733 0.533 F
0.844 0.767 0.033 F
```

Results
Relative energy among the computed polymorphs ... 0.00 eV per formula unit
Space group ... No. 14

The following is a PBE-GGA calculation of HoSiHO4 after structural relaxation, from OQMD via LeMat-Bulk.

```
HoSiHO4
1.0
9.644 0.000 0.000
0.000 6.985 0.000
0.000 0.000 4.396
Ho Si H O
4 4 4 16
Direct
0.090 0.250 0.145 Ho
0.410 0.750 0.645 Ho
0.590 0.250 0.355 Ho
0.910 0.750 0.855 Ho
0.153 0.750 0.343 Si
0.347 0.250 0.843 Si
0.653 0.750 0.157 Si
0.847 0.250 0.657 Si
0.000 0.000 0.500 H
0.000 0.500 0.500 H
0.500 0.000 0.000 H
0.500 0.500 0.000 H
0.055 0.560 0.265 O
0.055 0.940 0.265 O
0.166 0.750 0.711 O
0.192 0.250 0.708 O
0.308 0.750 0.208 O
0.334 0.250 0.211 O
0.445 0.060 0.765 O
0.445 0.440 0.765 O
0.555 0.560 0.235 O
0.555 0.940 0.235 O
0.666 0.750 0.789 O
0.692 0.250 0.792 O
0.808 0.750 0.292 O
0.834 0.250 0.289 O
0.945 0.060 0.735 O
0.945 0.440 0.735 O
```

Results
Relative energy among the computed polymorphs ... 1.29 eV per formula unit
Space group ... No. 62

The following is a PBE-GGA calculation of GdMgCo2Ge2 after structural relaxation, from OQMD via LeMat-Bulk.

```
GdMgCo2Ge2
1.0
3.966 0.000 0.000
0.000 3.966 0.000
0.000 0.000 6.567
Gd Mg Co Ge
1 1 2 2
Direct
0.000 0.000 0.000 Gd
0.500 0.500 0.641 Mg
0.000 0.500 0.336 Co
0.500 0.000 0.336 Co
0.000 0.000 0.547 Ge
0.500 0.500 0.137 Ge
```

Results
Space group ... No. 99

Number 1: total DFT energy (no corrections) -3.854 eV/atom. Number 2: total DFT energy (no corrections) -7.292 eV/atom. Number 3: total DFT energy (no corrections) -5.399 eV/atom.